The following is a PBE+U calculation of CsBaCoO2 after structural relaxation, from the Alexandria database.

CIF file:
```
data_CsBaCoO2
_chemical_formula_sum 'Cs1 Ba1 Co1 O2'
_space_group_name_H-M_alt 'P 1'
_space_group_IT_number 1
_cell_length_a 4.6025
_cell_length_b 4.6025
_cell_length_c 4.8290
_cell_angle_alpha 90.00
_cell_angle_beta 90.00
_cell_angle_gamma 90.00
loop_
_space_group_symop_operation_xyz
'x,y,z'
loop_
_atom_site_label
_atom_site_fract_x
_atom_site_fract_y
_atom_site_fract_z
Cs1 0.0000 0.0000 0.0000
Ba1 0.5000 0.5000 0.0000
Co1 0.5000 0.5000 0.5000
O1 0.0000 0.5000 0.5000
O2 0.5000 0.0000 0.5000
```

Results
- Energy above the lowest structure with this stoichiometry: 1294 meV per atom
- Total magnetization: 0.412 μB per atom
- VASP energy: -3.756 eV/atom
- DOS(E_F): 0.6 states/eV per cell
- ρ: 5.863 Mg/m³
- Space group: No. 123